Material: Dy5IrRu4
Method: DFT, GGA-PBE
State: relaxed

Computed properties:
Space group   P4/mmm
Calculated formation energy   -427 meV per atom
Total energy   -7.3249 eV per atom

Lattice parameters (Å, degrees): 3.4025 3.4025 17.0073 90.00 90.00 90.00
Closest atoms and distances in Å follow each position.
Positions (direct):
Dy1 0.5000 0.5000 0.1025  4 Ru 2.92, 4 Ir 2.97
Dy2 0.5000 0.5000 0.3008  8 Ru 2.94-2.95
Dy3 0.5000 0.5000 0.5000  8 Ru 2.94
Dy4 0.5000 0.5000 0.6992  8 Ru 2.94-2.95
Dy5 0.5000 0.5000 0.8975  4 Ru 2.92, 4 Ir 2.97
Ir1 0.0000 0.0000 0.0000  8 Dy 2.97
Ru1 0.0000 0.0000 0.2002  8 Dy 2.92-2.95
Ru2 0.0000 0.0000 0.4002  8 Dy 2.94
Ru3 0.0000 0.0000 0.5998  8 Dy 2.94
Ru4 0.0000 0.0000 0.7998  8 Dy 2.92-2.95